(1)
Compound: HfTiFe2
Source: Alexandria
Functional: GGA-PBE
Structure: relaxed

```
HfTiFe2
1.0
-2.2623 -0.0383 -2.0397
-2.0093 -0.4849 2.2377
-0.7064 6.0201 0.6704
Fe Ti Hf
2 1 1
Cartesian
-0.5201 4.4330 0.4936
-0.1862 1.5871 0.1767
-2.4890 2.7484 0.4342
-2.1358 -0.2616 0.0990
```

As for the space group: P4/mmm (123).

(2)
Compound: RbGa4Sn2
Source: Alexandria
Functional: GGA-PBE
Structure: relaxed

```
RbGa4Sn2
1.0
4.7850 0.0000 1.2742
2.2229 4.2374 1.2742
-0.0314 -0.0190 9.7397
Rb Ga Sn
1 4 2
Cartesian
0.0000 0.0000 0.0000
3.1513 1.9054 7.4095
6.0094 3.6336 6.2981
3.8252 2.3130 4.8786
0.9671 0.5848 5.9900
5.2811 3.1932 9.0331
1.6954 1.0251 3.2549
```

As for the space group: R-3m (166).

Sequential ρ output: 9.92; 5.05 g/cm³
Sequential excess energy over the best structure of this formula in the dataset output: 0.01; 0.19 eV per formula unit
Sequential VASP energy output: -9.0293; -3.0680 eV/atom